SnP2RhCl | PBE | optimized geometry

Lattice parameters (Å, degrees): 5.019 5.019 4.940 90.00 90.00 90.00
Space group P4/mmm (No. 123)
Inequivalent atoms, fractional coordinates:
Sn 0.000 0.000 0.000 x1
P 0.000 0.500 0.000 x2
Rh 0.500 0.500 0.500 x1
Cl 0.000 0.000 0.500 x1

Summary:
- Density: 4.26 g/cm³
- E_form (uncorrected): 1204 meV/atom

SnP2RhCl | PBE | optimized geometry

Lattice parameters (Å, degrees): 4.541 4.541 5.341 90.00 90.00 90.00
Space group P4/mmm (No. 123)
Inequivalent atoms, fractional coordinates:
Sn 0.000 0.000 0.000 x1
P 0.000 0.500 0.500 x2
Rh 0.500 0.500 0.500 x1
Cl 0.500 0.500 0.000 x1

Summary:
- Density: 4.81 g/cm³
- E_form (uncorrected): 238 meV/atom

SrPRhCl2 | PBE | optimized geometry

Lattice parameters (Å, degrees): 5.039 5.039 4.561 90.00 90.00 90.00
Space group P4/mmm (No. 123)
Inequivalent atoms, fractional coordinates:
Sr 0.000 0.000 0.000 x1
P 0.500 0.500 0.000 x1
Rh 0.500 0.500 0.500 x1
Cl 0.000 0.500 0.500 x2

Summary:
- Density: 4.19 g/cm³
- E_form (uncorrected): -809 meV/atom

SrP2RhCl | PBE | optimized geometry

Lattice parameters (Å, degrees): 5.688 5.688 5.373 90.00 90.00 90.00
Space group P4/mmm (No. 123)
Inequivalent atoms, fractional coordinates:
Sr 0.000 0.000 0.000 x1
P 0.000 0.500 0.000 x2
Rh 0.500 0.500 0.500 x1
Cl 0.000 0.000 0.500 x1

Summary:
- Density: 2.75 g/cm³
- E_form (uncorrected): 1162 meV/atom

Repeat the first record exactly.
SnP2RhCl | PBE | optimized geometry

Lattice parameters (Å, degrees): 5.019 5.019 4.940 90.00 90.00 90.00
Space group P4/mmm (No. 123)
Inequivalent atoms, fractional coordinates:
Sn 0.000 0.000 0.000 x1
P 0.000 0.500 0.000 x2
Rh 0.500 0.500 0.500 x1
Cl 0.000 0.000 0.500 x1

Summary:
- Density: 4.26 g/cm³
- E_form (uncorrected): 1204 meV/atom

- Which of these has the highest density?
  number 2

Repeat the fourth record exactly.
SrP2RhCl | PBE | optimized geometry

Lattice parameters (Å, degrees): 5.688 5.688 5.373 90.00 90.00 90.00
Space group P4/mmm (No. 123)
Inequivalent atoms, fractional coordinates:
Sr 0.000 0.000 0.000 x1
P 0.000 0.500 0.000 x2
Rh 0.500 0.500 0.500 x1
Cl 0.000 0.000 0.500 x1

Summary:
- Density: 2.75 g/cm³
- E_form (uncorrected): 1162 meV/atom

What did the second record say?
SnP2RhCl | PBE | optimized geometry

Lattice parameters (Å, degrees): 4.541 4.541 5.341 90.00 90.00 90.00
Space group P4/mmm (No. 123)
Inequivalent atoms, fractional coordinates:
Sn 0.000 0.000 0.000 x1
P 0.000 0.500 0.500 x2
Rh 0.500 0.500 0.500 x1
Cl 0.500 0.500 0.000 x1

Summary:
- Density: 4.81 g/cm³
- E_form (uncorrected): 238 meV/atom